# 1
Below is a relaxed structure of Dy6Ni2Pt, with properties calculated at the GGA-PBE level.

Unit cell a=6.4697 b=7.0589 c=11.7575 alpha=90.00 beta=120.02 gamma=90.00
Space group P2_1/c (No. 14)
Inequivalent atoms, fractional coordinates:
Dy1 0.0784 0.1842 0.4236
Dy2 0.2349 0.6676 0.4182
Dy3 0.4094 0.0526 0.2435
Ni1 0.1752 0.1154 0.7334
Pt1 0.5000 0.0000 0.5000

- calculated formation energy (eV per atom) = -0.425

# 2
Below is a relaxed structure of HfTcRuI2, with properties calculated at the GGA-PBE level.

Unit cell a=5.2947 b=5.2947 c=4.9025 alpha=90.00 beta=90.00 gamma=90.00
Space group P4/mmm (No. 123)
Inequivalent atoms, fractional coordinates:
Hf1 0.0000 0.0000 0.0000
Tc1 0.5000 0.5000 0.0000
Ru1 0.0000 0.0000 0.5000
I1 0.0000 0.5000 0.5000

- ΔE_f (raw) (eV per atom) = 1.271

# 3
Below is a relaxed structure of ZrTa2Ir, with properties calculated at the GGA-PBE level.

Unit cell a=2.9435 b=4.5686 c=5.4274 alpha=90.00 beta=101.16 gamma=90.00
Space group Pm (No. 6)
Inequivalent atoms, fractional coordinates:
Zr1 0.0000 0.0000 0.0000
Ta1 0.2593 0.5000 0.7399
Ta2 0.5013 0.0000 0.4973
Ir1 0.7439 0.5000 0.2504

- calculated formation energy (eV per atom) = -0.235